1.
Ce2TmOs2 | PBE | optimized geometry

abc: 5.246 4.670 10.112
angles: 90.00 98.04 90.00
Sites, in units of the cell vectors:
Ce 0.113 0.250 0.390
Ce 0.229 0.750 0.955
Ce 0.771 0.250 0.045
Ce 0.887 0.750 0.610
Tm 0.463 0.250 0.715
Tm 0.537 0.750 0.285
Os 0.320 0.250 0.134
Os 0.345 0.750 0.551
Os 0.655 0.250 0.449
Os 0.680 0.750 0.866

## Properties
SG: P2_1/m, No. 11
Calculated density, g cm⁻³: 11.23
D(E_F), states/eV/atom: 1.0389
Energy, eV/atom: -7.9379

=====

2.
Ce2TmOs | PBE | optimized geometry

abc: 3.729 3.729 30.008
angles: 90.00 90.00 120.00
Sites, in units of the cell vectors:
Ce 0.000 0.000 0.110
Ce 0.000 0.000 0.890
Ce 0.333 0.667 0.557
Ce 0.333 0.667 0.777
Ce 0.667 0.333 0.223
Ce 0.667 0.333 0.443
Tm 0.000 0.000 0.000
Tm 0.333 0.667 0.667
Tm 0.667 0.333 0.333
Os 0.000 0.000 0.500
Os 0.333 0.667 0.167
Os 0.667 0.333 0.833

## Properties
SG: R-3m, No. 166
Calculated density, g cm⁻³: 8.81
D(E_F), states/eV/atom: 2.3550
Energy, eV/atom: -6.6299

=====

3.
CeTm4Os2 | PBE | optimized geometry

abc: 7.689 6.224 8.004
angles: 90.00 113.27 90.00
Sites, in units of the cell vectors:
Ce 0.034 0.250 0.169
Ce 0.966 0.750 0.831
Tm 0.241 0.502 0.582
Tm 0.241 0.998 0.582
Tm 0.330 0.750 0.253
Tm 0.385 0.250 0.015
Tm 0.615 0.750 0.985
Tm 0.670 0.250 0.747
Tm 0.759 0.002 0.418
Tm 0.759 0.498 0.418
Os 0.023 0.250 0.740
Os 0.406 0.250 0.367
Os 0.594 0.750 0.633
Os 0.977 0.750 0.260

## Properties
SG: P2_1/m, No. 11
Calculated density, g cm⁻³: 11.29
D(E_F), states/eV/atom: 1.3233
Energy, eV/atom: -6.8111

=====

4.
CeTm3Os2 | PBE | optimized geometry

abc: 8.272 8.272 8.272
angles: 132.22 71.55 130.13
Sites, in units of the cell vectors:
Ce 0.000 0.000 0.000
Ce 0.500 0.500 0.000
Tm 0.008 0.250 0.758
Tm 0.250 0.750 0.500
Tm 0.492 0.250 0.242
Tm 0.508 0.750 0.758
Tm 0.750 0.250 0.500
Tm 0.992 0.750 0.242
Os 0.128 0.739 0.867
Os 0.372 0.239 0.610
Os 0.628 0.761 0.390
Os 0.872 0.261 0.133

## Properties
SG: Ibam, No. 72
Calculated density, g cm⁻³: 10.88
D(E_F), states/eV/atom: 0.9221
Energy, eV/atom: -7.2318

=====

5.
CeTm2Os | PBE | optimized geometry

abc: 3.252 3.252 32.368
angles: 90.00 90.00 120.00
Sites, in units of the cell vectors:
Ce 0.000 0.000 0.000
Ce 0.333 0.667 0.667
Ce 0.667 0.333 0.333
Tm 0.000 0.000 0.102
Tm 0.000 0.000 0.898
Tm 0.333 0.667 0.565
Tm 0.333 0.667 0.769
Tm 0.667 0.333 0.231
Tm 0.667 0.333 0.435
Os 0.000 0.000 0.500
Os 0.333 0.667 0.167
Os 0.667 0.333 0.833

## Properties
SG: R-3m, No. 166
Calculated density, g cm⁻³: 11.23
D(E_F), states/eV/atom: 1.7300
Energy, eV/atom: -6.3287

=====

6.
Ce2TmOs2 | PBE | optimized geometry

abc: 4.660 6.128 7.866
angles: 90.00 90.00 90.00
Sites, in units of the cell vectors:
Ce 0.000 0.000 0.193
Ce 0.000 0.000 0.807
Ce 0.500 0.500 0.307
Ce 0.500 0.500 0.693
Tm 0.000 0.500 0.000
Tm 0.500 0.000 0.500
Os 0.000 0.267 0.500
Os 0.000 0.733 0.500
Os 0.500 0.233 0.000
Os 0.500 0.767 0.000

## Properties
SG: Immm, No. 71
Calculated density, g cm⁻³: 12.27
D(E_F), states/eV/atom: 1.3773
Energy, eV/atom: -7.9052

=====

7.
Ce4TmOs4 | PBE | optimized geometry

abc: 7.001 7.001 8.898
angles: 90.00 90.00 90.00
Sites, in units of the cell vectors:
Ce 0.004 0.250 0.110
Ce 0.250 0.004 0.610
Ce 0.250 0.496 0.610
Ce 0.496 0.250 0.110
Ce 0.504 0.750 0.890
Ce 0.750 0.504 0.390
Ce 0.750 0.996 0.390
Ce 0.996 0.750 0.890
Tm 0.250 0.750 0.250
Tm 0.750 0.250 0.750
Os 0.054 0.250 0.417
Os 0.250 0.054 0.917
Os 0.250 0.446 0.917
Os 0.446 0.250 0.417
Os 0.554 0.750 0.583
Os 0.750 0.554 0.083
Os 0.750 0.946 0.083
Os 0.946 0.750 0.583

## Properties
SG: P4_2/nmc, No. 137
Calculated density, g cm⁻³: 11.35
D(E_F), states/eV/atom: 0.9432
Energy, eV/atom: -8.0276

=====

8.
CeTm2Os | PBE | optimized geometry

abc: 7.206 9.236 6.314
angles: 90.00 90.00 90.00
Sites, in units of the cell vectors:
Ce 0.049 0.250 0.142
Ce 0.451 0.750 0.642
Ce 0.549 0.250 0.358
Ce 0.951 0.750 0.858
Tm 0.172 0.065 0.666
Tm 0.172 0.435 0.666
Tm 0.328 0.565 0.166
Tm 0.328 0.935 0.166
Tm 0.672 0.065 0.834
Tm 0.672 0.435 0.834
Tm 0.828 0.565 0.334
Tm 0.828 0.935 0.334
Os 0.131 0.750 0.470
Os 0.369 0.250 0.970
Os 0.631 0.750 0.030
Os 0.869 0.250 0.530

## Properties
SG: Pnma, No. 62
Calculated density, g cm⁻³: 10.56
D(E_F), states/eV/atom: 1.5653
Energy, eV/atom: -6.7932

=====

9.
CeTm2Os2 | PBE | optimized geometry

abc: 4.325 5.859 8.788
angles: 90.00 90.00 90.00
Sites, in units of the cell vectors:
Ce 0.000 0.000 0.000
Ce 0.500 0.500 0.500
Tm 0.000 0.500 0.195
Tm 0.000 0.500 0.805
Tm 0.500 0.000 0.305
Tm 0.500 0.000 0.695
Os 0.000 0.227 0.500
Os 0.000 0.773 0.500
Os 0.500 0.273 0.000
Os 0.500 0.727 0.000

## Properties
SG: Immm, No. 71
Calculated density, g cm⁻³: 12.80
D(E_F), states/eV/atom: 0.4635
Energy, eV/atom: -7.7801

=====

10.
Ce2TmOs | PBE | optimized geometry

abc: 3.795 11.172 9.595
angles: 90.00 90.00 90.00
Sites, in units of the cell vectors:
Ce 0.000 0.140 0.060
Ce 0.000 0.140 0.440
Ce 0.000 0.860 0.560
Ce 0.000 0.860 0.940
Ce 0.500 0.360 0.560
Ce 0.500 0.360 0.940
Ce 0.500 0.640 0.060
Ce 0.500 0.640 0.440
Tm 0.000 0.423 0.250
Tm 0.000 0.577 0.750
Tm 0.500 0.077 0.750
Tm 0.500 0.923 0.250
Os 0.000 0.287 0.750
Os 0.000 0.713 0.250
Os 0.500 0.213 0.250
Os 0.500 0.787 0.750

## Properties
SG: Cmcm, No. 63
Calculated density, g cm⁻³: 10.44
D(E_F), states/eV/atom: 1.8755
Energy, eV/atom: -7.0463

=====

11.
Ce3TmOs2 | PBE | optimized geometry

abc: 8.633 8.633 9.286
angles: 114.31 114.31 27.03
Sites, in units of the cell vectors:
Ce 0.053 0.053 0.378
Ce 0.278 0.278 0.618
Ce 0.367 0.367 0.269
Ce 0.633 0.633 0.731
Ce 0.722 0.722 0.382
Ce 0.947 0.947 0.622
Tm 0.110 0.110 0.034
Tm 0.890 0.890 0.966
Os 0.241 0.241 0.896
Os 0.472 0.472 0.833
Os 0.528 0.528 0.167
Os 0.759 0.759 0.104

## Properties
SG: C2/m, No. 12
Calculated density, g cm⁻³: 11.30
D(E_F), states/eV/atom: 1.4564
Energy, eV/atom: -7.6069

=====

12.
CeTm2Os | PBE | optimized geometry

abc: 3.366 3.366 9.057
angles: 90.00 90.00 90.00
Sites, in units of the cell vectors:
Ce 0.000 0.000 0.000
Tm 0.500 0.500 0.320
Tm 0.500 0.500 0.680
Os 0.000 0.000 0.500

## Properties
SG: P4/mmm, No. 123
Calculated density, g cm⁻³: 10.82
D(E_F), states/eV/atom: 1.6463
Energy, eV/atom: -6.6617

=====

13.
Ce8TmOs6 | PBE | optimized geometry

abc: 7.522 7.522 7.522
angles: 68.62 68.62 68.62
Sites, in units of the cell vectors:
Ce 0.071 0.709 0.370
Ce 0.173 0.173 0.173
Ce 0.291 0.630 0.929
Ce 0.370 0.071 0.709
Ce 0.630 0.929 0.291
Ce 0.709 0.370 0.071
Ce 0.827 0.827 0.827
Ce 0.929 0.291 0.630
Tm 0.500 0.500 0.500
Os 0.109 0.451 0.787
Os 0.213 0.891 0.549
Os 0.451 0.787 0.109
Os 0.549 0.213 0.891
Os 0.787 0.109 0.451
Os 0.891 0.549 0.213

## Properties
SG: R-3, No. 148
Calculated density, g cm⁻³: 11.35
D(E_F), states/eV/atom: 1.5795
Energy, eV/atom: -8.1154

=====

14.
Ce2TmOs | PBE | optimized geometry

abc: 3.741 3.741 7.114
angles: 90.00 90.00 90.00
Sites, in units of the cell vectors:
Ce 0.000 0.000 0.195
Ce 0.000 0.000 0.805
Tm 0.500 0.500 0.500
Os 0.500 0.500 0.000

## Properties
SG: P4/mmm, No. 123
Calculated density, g cm⁻³: 10.66
D(E_F), states/eV/atom: 2.0405
Energy, eV/atom: -6.8668

=====

15.
CeTmOs2 | PBE | optimized geometry

abc: 4.833 4.833 3.404
angles: 90.00 90.00 90.00
Sites, in units of the cell vectors:
Ce 0.000 0.000 0.000
Tm 0.500 0.500 0.000
Os 0.000 0.500 0.500
Os 0.500 0.000 0.500

## Properties
SG: P4/mmm, No. 123
Calculated density, g cm⁻³: 14.40
D(E_F), states/eV/atom: 0.4211
Energy, eV/atom: -8.4012

=====

16.
CeTm2Os2 | PBE | optimized geometry

abc: 5.806 5.806 9.409
angles: 112.33 112.33 50.74
Sites, in units of the cell vectors:
Ce 0.184 0.184 0.084
Ce 0.816 0.816 0.916
Tm 0.138 0.138 0.472
Tm 0.457 0.457 0.781
Tm 0.543 0.543 0.219
Tm 0.862 0.862 0.528
Os 0.129 0.129 0.798
Os 0.375 0.375 0.390
Os 0.625 0.625 0.610
Os 0.871 0.871 0.202

## Properties
SG: C2/m, No. 12
Calculated density, g cm⁻³: 12.79
D(E_F), states/eV/atom: 0.9448
Energy, eV/atom: -7.6019

=====

17.
Ce3TmOs8 | PBE | optimized geometry

abc: 9.324 9.324 9.324
angles: 33.52 33.52 33.52
Sites, in units of the cell vectors:
Ce 0.000 0.000 0.000
Ce 0.125 0.125 0.125
Ce 0.499 0.499 0.499
Tm 0.624 0.624 0.624
Os 0.059 0.562 0.562
Os 0.062 0.062 0.565
Os 0.062 0.565 0.062
Os 0.311 0.311 0.311
Os 0.562 0.059 0.562
Os 0.562 0.562 0.059
Os 0.565 0.062 0.062
Os 0.812 0.812 0.812

## Properties
SG: R3m, No. 160
Calculated density, g cm⁻³: 15.92
D(E_F), states/eV/atom: 0.5624
Energy, eV/atom: -9.5998

=====

18.
CeTmOs4 | PBE | optimized geometry

abc: 5.367 5.367 5.367
angles: 60.00 60.00 60.00
Sites, in units of the cell vectors:
Ce 0.000 0.000 0.000
Tm 0.750 0.750 0.750
Os 0.375 0.375 0.375
Os 0.375 0.375 0.874
Os 0.375 0.874 0.375
Os 0.874 0.375 0.375

## Properties
SG: F-43m, No. 216
Calculated density, g cm⁻³: 16.25
D(E_F), states/eV/atom: 0.7384
Energy, eV/atom: -9.4897

=====

19.
CeTm3Os8 | PBE | optimized geometry

abc: 9.282 9.282 9.282
angles: 33.45 33.45 33.45
Sites, in units of the cell vectors:
Ce 0.000 0.000 0.000
Tm 0.126 0.126 0.126
Tm 0.501 0.501 0.501
Tm 0.625 0.625 0.625
Os 0.063 0.063 0.559
Os 0.063 0.559 0.063
Os 0.065 0.563 0.563
Os 0.313 0.313 0.313
Os 0.559 0.063 0.063
Os 0.563 0.065 0.563
Os 0.563 0.563 0.065
Os 0.813 0.813 0.813

## Properties
SG: R3m, No. 160
Calculated density, g cm⁻³: 16.65
D(E_F), states/eV/atom: 0.9932
Energy, eV/atom: -9.3948

=====

20.
CeUOs2 | PBE | optimized geometry

abc: 6.852 6.852 6.852
angles: 90.00 90.00 90.00
Sites, in units of the cell vectors:
Ce 0.000 0.000 0.000
Ce 0.000 0.500 0.500
Ce 0.500 0.000 0.500
Ce 0.500 0.500 0.000
U 0.000 0.000 0.500
U 0.000 0.500 0.000
U 0.500 0.000 0.000
U 0.500 0.500 0.500
Os 0.250 0.250 0.250
Os 0.250 0.250 0.750
Os 0.250 0.750 0.250
Os 0.250 0.750 0.750
Os 0.750 0.250 0.250
Os 0.750 0.250 0.750
Os 0.750 0.750 0.250
Os 0.750 0.750 0.750

## Properties
SG: Fm-3m, No. 225
Calculated density, g cm⁻³: 15.66
D(E_F), states/eV/atom: 1.7963
Energy, eV/atom: -9.9083